[1]
This record from OQMD describes a relaxed Nb4GaSiC2 crystal. The functional is PBE-GGA.

Cell lengths 3.191, 3.191, 13.045 Å; angles 90.00, 90.00, 120.00 degrees
Positions (direct):
Nb 0.000 0.000 0.352
Nb 0.333 0.667 0.835
Nb 0.000 0.000 0.648
Nb 0.333 0.667 0.165
C 0.667 0.333 0.257
C 0.667 0.333 0.743
Si 0.333 0.667 0.500
Ga 0.000 0.000 0.000

Output
The electronic total energy is -8.94 eV per atom. Its density is 7.1 Mg/m³.

[2]
This record from OQMD describes a relaxed Nb4GaSnC2 crystal. The functional is PBE-GGA.

Cell lengths 3.213, 3.213, 13.758 Å; angles 90.00, 90.00, 120.00 degrees
Positions (direct):
Ga 0.667 0.333 0.000
Nb 0.333 0.667 0.156
Nb 0.667 0.333 0.330
Nb 0.667 0.333 0.670
Nb 0.333 0.667 0.844
C 0.000 0.000 0.757
C 0.000 0.000 0.243
Sn 0.333 0.667 0.500

Output
The electronic total energy is -8.69 eV per atom. Its density is 7.9 Mg/m³.

[3]
This record from OQMD describes a relaxed Ta3NbGa2C2 crystal. The functional is PBE-GGA.

Cell lengths 3.133, 3.133, 13.660 Å; angles 90.00, 90.00, 120.00 degrees
Positions (direct):
Ga 0.000 0.000 0.750
Ga 0.667 0.333 0.250
Ta 0.667 0.333 0.910
Ta 0.000 0.000 0.410
Ta 0.667 0.333 0.590
C 0.333 0.667 0.999
C 0.333 0.667 0.500
Nb 0.000 0.000 0.090

Output
The electronic total energy is -9.29 eV per atom. Its density is 11.4 Mg/m³.

[4]
This record from OQMD describes a relaxed TaNbGaC crystal. The functional is PBE-GGA.

Cell lengths 3.138, 3.138, 13.661 Å; angles 90.00, 90.00, 120.00 degrees
Positions (direct):
Nb 0.667 0.333 0.410
Nb 0.333 0.667 0.590
C 0.000 0.000 0.000
C 0.000 0.000 0.500
Ga 0.333 0.667 0.250
Ga 0.667 0.333 0.750
Ta 0.667 0.333 0.090
Ta 0.333 0.667 0.910

Output
The electronic total energy is -9.07 eV per atom. Its density is 10.1 Mg/m³. Its energy above the most stable polymorph in this dataset is 0.0022 eV/atom.

[5]
This record from OQMD describes a relaxed TaNbGaC crystal. The functional is PBE-GGA.

Cell lengths 3.138, 3.138, 13.648 Å; angles 90.00, 90.00, 120.00 degrees
Positions (direct):
Ta 0.667 0.333 0.411
Ta 0.333 0.667 0.911
Nb 0.667 0.333 0.090
Nb 0.333 0.667 0.590
Ga 0.333 0.667 0.250
Ga 0.667 0.333 0.750
C 0.000 0.000 0.999
C 0.000 0.000 0.499

Output
The electronic total energy is -9.07 eV per atom. Its density is 10.1 Mg/m³. Its energy above the most stable polymorph in this dataset is 0.0000 eV/atom.

[6]
This record from OQMD describes a relaxed TaNbGaC crystal. The functional is PBE-GGA.

Cell lengths 3.142, 3.142, 13.608 Å; angles 90.00, 90.00, 120.00 degrees
Positions (direct):
Ta 0.333 0.667 0.660
Ta 0.333 0.667 0.340
Ga 0.667 0.333 0.500
Ga 0.333 0.667 0.000
Nb 0.667 0.333 0.840
Nb 0.667 0.333 0.160
C 0.000 0.000 0.748
C 0.000 0.000 0.252

Output
The electronic total energy is -9.07 eV per atom. Its density is 10.1 Mg/m³. Its energy above the most stable polymorph in this dataset is 0.0006 eV/atom.

[7]
This record from OQMD describes a relaxed Nb4ZnGaC2 crystal. The functional is PBE-GGA.

Cell lengths 3.166, 3.166, 13.615 Å; angles 90.00, 90.00, 120.00 degrees
Positions (direct):
Zn 0.333 0.667 0.500
C 0.667 0.333 0.749
C 0.667 0.333 0.251
Nb 0.333 0.667 0.161
Nb 0.333 0.667 0.839
Nb 0.000 0.000 0.662
Nb 0.000 0.000 0.338
Ga 0.000 0.000 0.000

Output
The electronic total energy is -8.33 eV per atom. Its density is 7.5 Mg/m³.

[8]
This record from OQMD describes a relaxed Zr2Nb4Ga3C3 crystal. The functional is PBE-GGA.

Cell lengths 5.542, 5.542, 14.222 Å; angles 101.40, 101.40, 60.01 degrees
Positions (direct):
Zr 0.371 0.535 0.101
Zr 0.535 0.371 0.601
Zr 0.465 0.629 0.399
Zr 0.629 0.465 0.899
Ga 0.813 0.584 0.251
Ga 0.416 0.187 0.249
Ga 0.187 0.416 0.749
Ga 0.584 0.813 0.751
Ga 0.978 0.022 0.750
Ga 0.022 0.978 0.250
C 0.668 0.165 0.000
C 0.165 0.668 0.500
C 0.000 0.500 0.000
C 0.500 0.000 0.500
C 0.835 0.332 0.500
C 0.332 0.835 0.000
Nb 0.976 0.800 0.915
Nb 0.024 0.200 0.085
Nb 0.305 0.142 0.915
Nb 0.858 0.695 0.585
Nb 0.200 0.024 0.585
Nb 0.142 0.305 0.415
Nb 0.800 0.976 0.415
Nb 0.695 0.858 0.085

Output
The electronic total energy is -8.47 eV per atom. Its density is 7.2 Mg/m³.

The evaluated total moment for the records listed, in turn: 0.003 0.010 0.004 0.001 0.001 0.000 0.003 0.003 μB/cell.